1.
Pr2Ni4SnGe3 | PBE | optimized geometry

```
data_Pr2Ni4SnGe3
_chemical_formula_sum 'Pr2 Ni4 Sn1 Ge3'
_cell_length_a 4.237
_cell_length_b 4.237
_cell_length_c 9.935
_cell_angle_alpha 90.00
_cell_angle_beta 90.00
_cell_angle_gamma 90.00
_space_group_name_H-M_alt 'P -4 m 2'
_space_group_IT_number 115
_space_group_name_Hall 'P -4 -2'
loop_
_atom_site_label
_atom_site_fract_x
_atom_site_fract_y
_atom_site_fract_z
Pr1 0.000 0.500 0.237
Ni1 0.000 0.000 0.000
Ni2 0.000 0.500 0.639
Ni3 0.500 0.500 0.000
Sn1 0.000 0.000 0.500
Ge1 0.000 0.500 0.879
Ge2 0.500 0.500 0.500
```

Calculated values
Its energy relative to the elements is -0.6341 eV per atom. The total energy comes out at -5.69 eV/atom. As for the density of states at the Fermi level: 5.24 states/eV/f.u.

=====

2.
Pr2Ni4Sn3Ge | PBE | optimized geometry

```
data_Pr2Ni4Sn3Ge
_chemical_formula_sum 'Pr2 Ni4 Sn3 Ge1'
_cell_length_a 4.407
_cell_length_b 4.407
_cell_length_c 10.089
_cell_angle_alpha 90.00
_cell_angle_beta 90.00
_cell_angle_gamma 90.00
_space_group_name_H-M_alt 'P -4 m 2'
_space_group_IT_number 115
_space_group_name_Hall 'P -4 -2'
loop_
_atom_site_label
_atom_site_fract_x
_atom_site_fract_y
_atom_site_fract_z
Pr1 0.000 0.500 0.249
Ni1 0.000 0.000 0.000
Ni2 0.000 0.500 0.619
Ni3 0.500 0.500 0.000
Sn1 0.000 0.500 0.871
Sn2 0.500 0.500 0.500
Ge1 0.000 0.000 0.500
```

Calculated values
Its energy relative to the elements is -0.5477 eV per atom. The total energy comes out at -5.48 eV/atom. As for the density of states at the Fermi level: 6.04 states/eV/f.u.

=====

3.
TbPrNi2Ge2 | PBE | optimized geometry

```
data_TbPrNi2Ge2
_chemical_formula_sum 'Tb1 Pr1 Ni2 Ge2'
_cell_length_a 4.1441
_cell_length_b 4.1441
_cell_length_c 7.9983
_cell_angle_alpha 90.00
_cell_angle_beta 90.00
_cell_angle_gamma 120.00
_space_group_name_H-M_alt 'P -3 m 1'
_space_group_IT_number 164
_space_group_name_Hall '-P 3 2"'
loop_
_atom_site_label
_atom_site_fract_x
_atom_site_fract_y
_atom_site_fract_z
Tb1 0.0000 0.0000 0.0000
Pr1 0.0000 0.0000 0.5000
Ni1 0.3333 0.6667 0.2307
Ge1 0.3333 0.6667 0.7592
```

Calculated values
Its energy relative to the elements is -0.7223 eV per atom. The total energy comes out at -5.76 eV/atom. As for the density of states at the Fermi level: 6.40 states/eV/f.u.

=====

4.
TbPrNiGe | PBE | optimized geometry

```
data_TbPrNiGe
_chemical_formula_sum 'Tb4 Pr4 Ni4 Ge4'
_cell_length_a 7.145
_cell_length_b 7.145
_cell_length_c 7.145
_cell_angle_alpha 90.00
_cell_angle_beta 90.00
_cell_angle_gamma 90.00
_space_group_name_H-M_alt 'F -4 3 m'
_space_group_IT_number 216
_space_group_name_Hall 'F -4 2 3'
loop_
_atom_site_label
_atom_site_fract_x
_atom_site_fract_y
_atom_site_fract_z
Tb1 0.000 0.000 0.000
Pr1 0.000 0.000 0.500
Ni1 0.250 0.250 0.250
Ge1 0.250 0.250 0.750
```

Calculated values
Its energy relative to the elements is -0.4596 eV per atom. The total energy comes out at -5.41 eV/atom. As for the density of states at the Fermi level: 1.80 states/eV/f.u.

=====

5.
PrTcNiGe2 | PBE | optimized geometry

```
data_PrTcNiGe2
_chemical_formula_sum 'Pr2 Tc2 Ni2 Ge4'
_cell_length_a 4.165
_cell_length_b 4.165
_cell_length_c 10.551
_cell_angle_alpha 90.00
_cell_angle_beta 90.00
_cell_angle_gamma 90.00
_space_group_name_H-M_alt 'I -4 m 2'
_space_group_IT_number 119
_space_group_name_Hall 'I -4 -2'
loop_
_atom_site_label
_atom_site_fract_x
_atom_site_fract_y
_atom_site_fract_z
Pr1 0.000 0.000 0.000
Tc1 0.000 0.500 0.250
Ni1 0.000 0.500 0.750
Ge1 0.000 0.000 0.371
```

Calculated values
Its energy relative to the elements is -0.5402 eV per atom. The total energy comes out at -6.57 eV/atom. As for the density of states at the Fermi level: 3.70 states/eV/f.u.

=====

6.
PrThNi2Ge2 | PBE | optimized geometry

```
data_PrThNi2Ge2
_chemical_formula_sum 'Pr1 Th1 Ni2 Ge2'
_cell_length_a 4.1804
_cell_length_b 4.1804
_cell_length_c 8.1433
_cell_angle_alpha 90.00
_cell_angle_beta 90.00
_cell_angle_gamma 120.00
_space_group_name_H-M_alt 'P -3 m 1'
_space_group_IT_number 164
_space_group_name_Hall '-P 3 2"'
loop_
_atom_site_label
_atom_site_fract_x
_atom_site_fract_y
_atom_site_fract_z
Pr1 0.0000 0.0000 0.0000
Th1 0.0000 0.0000 0.5000
Ni1 0.3333 0.6667 0.2611
Ge1 0.3333 0.6667 0.7478
```

Calculated values
Its energy relative to the elements is -0.7389 eV per atom. The total energy comes out at -6.24 eV/atom. As for the density of states at the Fermi level: 6.27 states/eV/f.u.

=====

7.
PrTmNiGe | PBE | optimized geometry

```
data_PrTmNiGe
_chemical_formula_sum 'Pr4 Tm4 Ni4 Ge4'
_cell_length_a 7.082
_cell_length_b 7.082
_cell_length_c 7.082
_cell_angle_alpha 90.00
_cell_angle_beta 90.00
_cell_angle_gamma 90.00
_space_group_name_H-M_alt 'F -4 3 m'
_space_group_IT_number 216
_space_group_name_Hall 'F -4 2 3'
loop_
_atom_site_label
_atom_site_fract_x
_atom_site_fract_y
_atom_site_fract_z
Pr1 0.000 0.000 0.000
Tm1 0.000 0.000 0.500
Ni1 0.250 0.250 0.250
Ge1 0.250 0.250 0.750
```

Calculated values
Its energy relative to the elements is -0.4678 eV per atom. The total energy comes out at -5.38 eV/atom. As for the density of states at the Fermi level: 1.62 states/eV/f.u.

=====

8.
Pr2ZnNi3Ge4 | PBE | optimized geometry

```
data_Pr2ZnNi3Ge4
_chemical_formula_sum 'Pr2 Zn1 Ni3 Ge4'
_cell_length_a 4.207
_cell_length_b 4.207
_cell_length_c 9.918
_cell_angle_alpha 90.00
_cell_angle_beta 90.00
_cell_angle_gamma 90.00
_space_group_name_H-M_alt 'P -4 m 2'
_space_group_IT_number 115
_space_group_name_Hall 'P -4 -2'
loop_
_atom_site_label
_atom_site_fract_x
_atom_site_fract_y
_atom_site_fract_z
Pr1 0.000 0.500 0.245
Zn1 0.000 0.000 0.500
Ni1 0.000 0.500 0.883
Ni2 0.500 0.500 0.500
Ge1 0.000 0.000 0.000
Ge2 0.000 0.500 0.641
Ge3 0.500 0.500 0.000
```

Calculated values
Its energy relative to the elements is -0.6498 eV per atom. The total energy comes out at -5.31 eV/atom. As for the density of states at the Fermi level: 4.76 states/eV/f.u.

=====

9.
Pr2Zn3NiGe4 | PBE | optimized geometry

```
data_Pr2Zn3NiGe4
_chemical_formula_sum 'Pr2 Zn3 Ni1 Ge4'
_cell_length_a 4.263
_cell_length_b 4.263
_cell_length_c 10.484
_cell_angle_alpha 90.00
_cell_angle_beta 90.00
_cell_angle_gamma 90.00
_space_group_name_H-M_alt 'P -4 m 2'
_space_group_IT_number 115
_space_group_name_Hall 'P -4 -2'
loop_
_atom_site_label
_atom_site_fract_x
_atom_site_fract_y
_atom_site_fract_z
Pr1 0.000 0.500 0.239
Zn1 0.000 0.000 0.000
Zn2 0.000 0.500 0.640
Ni1 0.500 0.500 0.000
Ge1 0.000 0.000 0.500
Ge2 0.000 0.500 0.875
Ge3 0.500 0.500 0.500
```

Calculated values
Its energy relative to the elements is -0.4692 eV per atom. The total energy comes out at -4.23 eV/atom. As for the density of states at the Fermi level: 1.46 states/eV/f.u.

=====

10.
Pr2ZnNi4Ge3 | PBE | optimized geometry

```
data_Pr2ZnNi4Ge3
_chemical_formula_sum 'Pr2 Zn1 Ni4 Ge3'
_cell_length_a 4.178
_cell_length_b 4.178
_cell_length_c 9.754
_cell_angle_alpha 90.00
_cell_angle_beta 90.00
_cell_angle_gamma 90.00
_space_group_name_H-M_alt 'P -4 m 2'
_space_group_IT_number 115
_space_group_name_Hall 'P -4 -2'
loop_
_atom_site_label
_atom_site_fract_x
_atom_site_fract_y
_atom_site_fract_z
Pr1 0.000 0.500 0.248
Zn1 0.000 0.000 0.500
Ni1 0.000 0.000 0.000
Ni2 0.000 0.500 0.629
Ni3 0.500 0.500 0.000
Ge1 0.000 0.500 0.874
Ge2 0.500 0.500 0.500
```

Calculated values
Its energy relative to the elements is -0.6201 eV per atom. The total energy comes out at -5.40 eV/atom. As for the density of states at the Fermi level: 7.16 states/eV/f.u.

=====

11.
Ni2GePt2 | PBE | optimized geometry

```
data_Ni2GePt2
_chemical_formula_sum 'Ni4 Ge2 Pt4'
_cell_length_a 6.038
_cell_length_b 6.038
_cell_length_c 3.865
_cell_angle_alpha 90.00
_cell_angle_beta 90.00
_cell_angle_gamma 90.00
_space_group_name_H-M_alt 'P 4/m b m'
_space_group_IT_number 127
_space_group_name_Hall '-P 4 2ab'
loop_
_atom_site_label
_atom_site_fract_x
_atom_site_fract_y
_atom_site_fract_z
Ni1 0.138 0.362 0.000
Ge1 0.000 0.000 0.000
Pt1 0.162 0.662 0.500
```

Calculated values
The value obtained for the energy above the most stable polymorph in this dataset is 0 meV/atom. Its energy relative to the elements is -0.0805 eV per atom. The total energy comes out at -5.73 eV/atom. As for the density of states at the Fermi level: 5.40 states/eV/f.u.

=====

12.
NiGe2Pt | PBE | optimized geometry

```
data_NiGe2Pt
_chemical_formula_sum 'Ni4 Ge8 Pt4'
_cell_length_a 6.204
_cell_length_b 6.204
_cell_length_c 6.204
_cell_angle_alpha 90.00
_cell_angle_beta 90.00
_cell_angle_gamma 90.00
_space_group_name_H-M_alt 'F m -3 m'
_space_group_IT_number 225
_space_group_name_Hall '-F 4 2 3'
loop_
_atom_site_label
_atom_site_fract_x
_atom_site_fract_y
_atom_site_fract_z
Ni1 0.000 0.000 0.000
Ge1 0.250 0.250 0.250
Pt1 0.000 0.000 0.500
```

Calculated values
The value obtained for the energy above the most stable polymorph in this dataset is 70 meV/atom. Its energy relative to the elements is -0.0934 eV per atom. The total energy comes out at -5.36 eV/atom. As for the density of states at the Fermi level: 2.03 states/eV/f.u.

=====

> Among the records above, which one has the highest energy relative to the elements?

Ni2GePt2

=====

> The lowest energy relative to the elements belongs to which entry?

PrThNi2Ge2